Record 1
VASP calculation (PBE) on an optimized crystal structure of SiSbO3.

Cell: 3.704 3.704 3.704 Å, 90.00 90.00 90.00°
Fractional positions:
Si 0.000 0.000 0.000
Sb 0.500 0.500 0.500
O 0.000 0.000 0.500
O 0.000 0.500 0.000
O 0.500 0.000 0.000

Calculated values
- ΔE_f (raw) (eV/atom) = -1.311
- space-group type = No. 221
- electronic total energy (eV for the cell shown) = -30.98

Record 2
VASP calculation (PBE) on an optimized crystal structure of TbHoSnPd.

Cell: 5.157 5.157 5.157 Å, 60.00 60.00 60.00°
Fractional positions:
Tb 0.000 0.000 0.000
Ho 0.500 0.500 0.500
Sn 0.250 0.250 0.250
Pd 0.750 0.750 0.750

Calculated values
- space-group type = No. 216
- electronic total energy (eV for the cell shown) = -21.37
- energy of formation from the pure elements (kcal/mol of atoms) = -17.1

Record 3
VASP calculation (PBE) on an optimized crystal structure of CaCdSi2.

Cell: 3.214 4.762 5.470 Å, 90.00 90.15 90.00°
Fractional positions:
Ca 0.000 0.000 0.000
Cd 0.502 0.500 0.265
Si 0.498 0.000 0.529
Si 0.499 0.500 0.760

Calculated values
- ΔE_f (raw) (eV/atom) = 0.046
- space-group type = No. 6
- electronic total energy (eV for the cell shown) = -13.58

Record 4
VASP calculation (PBE) on an optimized crystal structure of Si2NiHg.

Cell: 4.107 4.067 4.624 Å, 90.00 104.39 90.00°
Fractional positions:
Si 0.212 0.000 0.370
Si 0.788 0.000 0.630
Ni 0.500 0.500 0.500
Hg 0.000 0.500 0.000

Calculated values
- ΔE_f (raw) (eV/atom) = 0.164
- space-group type = No. 10
- electronic total energy (eV for the cell shown) = -16.27

Record 5
VASP calculation (PBE) on an optimized crystal structure of ErCdRh2.

Cell: 4.490 4.490 3.535 Å, 90.00 90.00 90.00°
Fractional positions:
Er 0.000 0.000 0.000
Cd 0.500 0.500 0.000
Rh 0.000 0.500 0.500
Rh 0.500 0.000 0.500

Calculated values
- space-group type = No. 123
- electronic total energy (eV for the cell shown) = -22.72
- offset from the most stable computed form (meV/atom) = 0.0
- energy of formation from the pure elements (kcal/mol of atoms) = -14.6

Record 6
VASP calculation (PBE) on an optimized crystal structure of Cs2HgMo.

Cell: 3.820 9.417 11.798 Å, 113.25 90.20 90.06°
Fractional positions:
Cs 0.246 0.284 0.158
Cs 0.246 0.824 0.301
Cs 0.754 0.176 0.699
Cs 0.754 0.716 0.842
Hg 0.252 0.795 0.605
Hg 0.748 0.205 0.395
Mo 0.250 0.454 0.538
Mo 0.750 0.546 0.462

Calculated values
- space-group type = No. 2
- electronic total energy (eV for the cell shown) = -21.89
- offset from the most stable computed form (meV/atom) = 0.0
- energy of formation from the pure elements (kcal/mol of atoms) = 10.9

Record 7
VASP calculation (PBE) on an optimized crystal structure of LaAlCr.

Cell: 3.382 3.382 7.137 Å, 90.00 90.00 120.00°
Fractional positions:
La 0.000 0.000 0.000
Al 0.667 0.333 0.361
Cr 0.333 0.667 0.618

Calculated values
- space-group type = No. 156
- electronic total energy (eV for the cell shown) = -16.90
- energy of formation from the pure elements (kcal/mol of atoms) = 10.7

Record 8
VASP calculation (PBE) on an optimized crystal structure of NaCaTmF6.

Cell: 5.213 5.213 10.561 Å, 90.00 90.00 90.00°
Fractional positions:
Na 0.000 0.000 0.000
Na 0.500 0.500 0.500
Ca 0.000 0.000 0.668
Ca 0.500 0.500 0.168
Tm 0.000 0.000 0.334
Tm 0.500 0.500 0.834
F 0.186 0.186 0.492
F 0.194 0.194 0.182
F 0.207 0.207 0.828
F 0.293 0.707 0.328
F 0.306 0.694 0.682
F 0.314 0.686 0.992
F 0.686 0.314 0.992
F 0.694 0.306 0.682
F 0.707 0.293 0.328
F 0.793 0.793 0.828
F 0.806 0.806 0.182
F 0.814 0.814 0.492

Calculated values
- ΔE_f (raw) (eV/atom) = -3.779
- space-group type = No. 102
- electronic total energy (eV for the cell shown) = -106.07

Record 9
VASP calculation (PBE) on an optimized crystal structure of PmY2Rh3.

Cell: 3.461 3.461 10.416 Å, 90.00 90.00 90.00°
Fractional positions:
Pm 0.000 0.000 0.000
Y 0.000 0.000 0.336
Y 0.000 0.000 0.664
Rh 0.500 0.500 0.172
Rh 0.500 0.500 0.500
Rh 0.500 0.500 0.828

Calculated values
- space-group type = No. 123
- electronic total energy (eV for the cell shown) = -44.43
- offset from the most stable computed form (meV/atom) = 4.4
- energy of formation from the pure elements (kcal/mol of atoms) = -18.1

Record 10
VASP calculation (PBE) on an optimized crystal structure of Ta2AlAg.

Cell: 5.197 5.197 5.197 Å, 134.74 134.74 65.94°
Fractional positions:
Ta 0.000 0.000 0.000
Ta 0.750 0.250 0.500
Al 0.500 0.500 0.000
Ag 0.250 0.750 0.500

Calculated values
- space-group type = No. 119
- electronic total energy (eV for the cell shown) = -29.65
- offset from the most stable computed form (meV/atom) = 169.9
- energy of formation from the pure elements (kcal/mol of atoms) = 3.7

Record 11
VASP calculation (PBE) on an optimized crystal structure of ZnSnHg2.

Cell: 9.029 9.029 9.029 Å, 22.65 22.65 22.65°
Fractional positions:
Zn 0.000 0.000 0.000
Sn 0.833 0.833 0.833
Hg 0.407 0.407 0.407
Hg 0.593 0.593 0.593

Calculated values
- space-group type = No. 160
- electronic total energy (eV for the cell shown) = -5.49
- offset from the most stable computed form (meV/atom) = 6.5
- energy of formation from the pure elements (kcal/mol of atoms) = 2.2

Record 12
VASP calculation (PBE) on an optimized crystal structure of CuGe3.

Cell: 5.844 5.844 4.721 Å, 90.00 90.00 120.00°
Fractional positions:
Cu 0.333 0.667 0.250
Cu 0.667 0.333 0.750
Ge 0.174 0.347 0.750
Ge 0.174 0.826 0.750
Ge 0.347 0.174 0.250
Ge 0.653 0.826 0.750
Ge 0.826 0.174 0.250
Ge 0.826 0.653 0.250

Calculated values
- space-group type = No. 194
- electronic total energy (eV for the cell shown) = -33.32
- offset from the most stable computed form (meV/atom) = 74.6
- energy of formation from the pure elements (kcal/mol of atoms) = 7.4

Record 13
VASP calculation (PBE) on an optimized crystal structure of SbIrIO2.

Cell: 3.944 3.944 6.579 Å, 90.00 90.00 90.00°
Fractional positions:
Sb 0.000 0.000 0.000
Ir 0.500 0.500 0.500
I 0.000 0.000 0.500
O 0.000 0.500 0.000
O 0.500 0.000 0.000

Calculated values
- ΔE_f (raw) (eV/atom) = 0.188
- space-group type = No. 123
- electronic total energy (eV for the cell shown) = -23.51
- offset from the most stable computed form (meV/atom) = 0.0

Record 14
VASP calculation (PBE) on an optimized crystal structure of CoRhSe2N.

Cell: 4.842 4.842 3.305 Å, 90.00 90.00 90.00°
Fractional positions:
Co 0.000 0.000 0.000
Rh 0.500 0.500 0.500
Se 0.000 0.500 0.000
Se 0.500 0.000 0.000
N 0.000 0.000 0.500

Calculated values
- ΔE_f (raw) (eV/atom) = 0.458
- space-group type = No. 123
- electronic total energy (eV for the cell shown) = -27.46
- offset from the most stable computed form (meV/atom) = 0.0

Record 15
VASP calculation (PBE) on an optimized crystal structure of AlZn2Cl.

Cell: 7.636 7.636 7.636 Å, 26.03 26.03 26.03°
Fractional positions:
Al 0.000 0.000 0.000
Zn 0.254 0.254 0.254
Zn 0.746 0.746 0.746
Cl 0.500 0.500 0.500

Calculated values
- ΔE_f (raw) (eV/atom) = -0.111
- space-group type = No. 166
- electronic total energy (eV for the cell shown) = -8.58
- offset from the most stable computed form (meV/atom) = 33.3

Record 16
VASP calculation (PBE) on an optimized crystal structure of SrHoNiTe3.

Cell: 4.256 11.232 7.606 Å, 90.00 106.22 90.00°
Fractional positions:
Sr 0.247 0.250 0.495
Sr 0.753 0.750 0.505
Ho 0.000 0.000 0.000
Ho 0.000 0.500 0.000
Ni 0.475 0.750 0.948
Ni 0.525 0.250 0.052
Te 0.076 0.750 0.151
Te 0.360 0.569 0.720
Te 0.360 0.931 0.720
Te 0.640 0.069 0.280
Te 0.640 0.431 0.280
Te 0.924 0.250 0.849

Calculated values
- ΔE_f (raw) (eV/atom) = -1.119
- space-group type = No. 11
- electronic total energy (eV for the cell shown) = -56.35

Record 17
VASP calculation (PBE) on an optimized crystal structure of Er6HC2Se3.

Cell: 8.560 8.560 7.795 Å, 105.46 105.46 25.35°
Fractional positions:
Er 0.016 0.016 0.251
Er 0.322 0.322 0.442
Er 0.336 0.336 0.879
Er 0.664 0.664 0.121
Er 0.678 0.678 0.558
Er 0.984 0.984 0.749
H 0.500 0.500 0.000
C 0.166 0.166 0.332
C 0.834 0.834 0.668
Se 0.163 0.163 0.835
Se 0.500 0.500 0.500
Se 0.837 0.837 0.165

Calculated values
- space-group type = No. 12
- electronic total energy (eV for the cell shown) = -73.08

Record 18
VASP calculation (PBE) on an optimized crystal structure of Sc2TiPdC.

Cell: 4.518 4.518 4.097 Å, 90.00 90.00 90.00°
Fractional positions:
Sc 0.000 0.500 0.000
Sc 0.500 0.000 0.000
Ti 0.000 0.000 0.500
Pd 0.500 0.500 0.500
C 0.000 0.000 0.000

Calculated values
- space-group type = No. 123
- electronic total energy (eV for the cell shown) = -37.63
- energy of formation from the pure elements (kcal/mol of atoms) = -12.2

Record 19
VASP calculation (PBE) on an optimized crystal structure of Pr3MgOs.

Cell: 6.268 7.052 7.381 Å, 90.00 110.19 90.00°
Fractional positions:
Pr 0.039 0.006 0.268
Pr 0.039 0.494 0.268
Pr 0.455 0.750 0.123
Pr 0.545 0.250 0.877
Pr 0.961 0.506 0.732
Pr 0.961 0.994 0.732
Mg 0.435 0.750 0.635
Mg 0.565 0.250 0.365
Os 0.202 0.250 0.034
Os 0.798 0.750 0.966

Calculated values
- space-group type = No. 11
- electronic total energy (eV for the cell shown) = -54.54
- offset from the most stable computed form (meV/atom) = 0.0
- energy of formation from the pure elements (kcal/mol of atoms) = -0.5

Record 20
VASP calculation (PBE) on an optimized crystal structure of TcMo.

Cell: 2.935 2.935 4.637 Å, 97.30 97.30 126.22°
Fractional positions:
Tc 0.000 0.000 0.000
Mo 0.748 0.252 0.500

Calculated values
- space-group type = No. 5
- electronic total energy (eV for the cell shown) = -20.80
- offset from the most stable computed form (meV/atom) = 121.6
- energy of formation from the pure elements (kcal/mol of atoms) = 4.6

Record 21
VASP calculation (PBE) on an optimized crystal structure of Rb3Ge5Br12.

Cell: 15.873 15.873 15.873 Å, 109.47 109.47 109.47°
Fractional positions:
Rb 0.125 0.250 0.375
Rb 0.125 0.375 0.750
Rb 0.250 0.375 0.125
Rb 0.250 0.875 0.625
Rb 0.375 0.125 0.250
Rb 0.375 0.750 0.125
Rb 0.625 0.250 0.875
Rb 0.625 0.875 0.750
Rb 0.750 0.125 0.375
Rb 0.750 0.625 0.875
Rb 0.875 0.625 0.250
Rb 0.875 0.750 0.625
Ge 0.000 0.000 0.000
Ge 0.000 0.000 0.500
Ge 0.000 0.500 0.000
Ge 0.000 0.500 0.500
Ge 0.125 0.750 0.875
Ge 0.125 0.875 0.250
Ge 0.250 0.125 0.875
Ge 0.250 0.625 0.375
Ge 0.375 0.250 0.625
Ge 0.375 0.625 0.750
Ge 0.500 0.000 0.000
Ge 0.500 0.000 0.500
Ge 0.500 0.500 0.000
Ge 0.500 0.500 0.500
Ge 0.625 0.375 0.250
Ge 0.625 0.750 0.375
Ge 0.750 0.375 0.625
Ge 0.750 0.875 0.125
Ge 0.875 0.125 0.750
Ge 0.875 0.250 0.125
Br 0.017 0.194 0.113
Br 0.017 0.323 0.904
Br 0.081 0.694 0.677
Br 0.081 0.887 0.404
Br 0.096 0.613 0.419
Br 0.096 0.983 0.677
Br 0.113 0.017 0.194
Br 0.113 0.596 0.919
Br 0.177 0.194 0.581
Br 0.177 0.483 0.596
Br 0.194 0.113 0.017
Br 0.194 0.581 0.177
Br 0.306 0.323 0.919
Br 0.306 0.483 0.387
Br 0.323 0.904 0.017
Br 0.323 0.919 0.306
Br 0.387 0.306 0.483
Br 0.387 0.581 0.904
Br 0.404 0.081 0.887
Br 0.404 0.823 0.517
Br 0.419 0.096 0.613
Br 0.419 0.823 0.806
Br 0.483 0.387 0.306
Br 0.483 0.596 0.177
Br 0.517 0.404 0.823
Br 0.517 0.613 0.694
Br 0.581 0.177 0.194
Br 0.581 0.904 0.387
Br 0.596 0.177 0.483
Br 0.596 0.919 0.113
Br 0.613 0.419 0.096
Br 0.613 0.694 0.517
Br 0.677 0.081 0.694
Br 0.677 0.096 0.983
Br 0.694 0.517 0.613
Br 0.694 0.677 0.081
Br 0.806 0.419 0.823
Br 0.806 0.887 0.983
Br 0.823 0.517 0.404
Br 0.823 0.806 0.419
Br 0.887 0.404 0.081
Br 0.887 0.983 0.806
Br 0.904 0.017 0.323
Br 0.904 0.387 0.581
Br 0.919 0.113 0.596
Br 0.919 0.306 0.323
Br 0.983 0.677 0.096
Br 0.983 0.806 0.887

Calculated values
- ΔE_f (raw) (eV/atom) = -0.808
- space-group type = No. 230
- electronic total energy (eV for the cell shown) = -248.92

Record 22
VASP calculation (PBE) on an optimized crystal structure of LaNi3Cl.

Cell: 4.434 4.434 4.434 Å, 90.00 90.00 90.00°
Fractional positions:
La 0.000 0.000 0.000
Ni 0.000 0.500 0.500
Ni 0.500 0.000 0.500
Ni 0.500 0.500 0.000
Cl 0.500 0.500 0.500

Calculated values
- ΔE_f (raw) (eV/atom) = 0.203
- space-group type = No. 221
- electronic total energy (eV for the cell shown) = -23.10
- offset from the most stable computed form (meV/atom) = 0.0

Record 23
VASP calculation (PBE) on an optimized crystal structure of BiNClF2.

Cell: 4.438 4.438 4.907 Å, 90.00 90.00 90.00°
Fractional positions:
Bi 0.000 0.000 0.000
N 0.000 0.000 0.500
Cl 0.500 0.500 0.500
F 0.000 0.500 0.000
F 0.500 0.000 0.000

Calculated values
- ΔE_f (raw) (eV/atom) = -0.375
- space-group type = No. 123
- electronic total energy (eV for the cell shown) = -19.67
- offset from the most stable computed form (meV/atom) = 0.0